First-principles (PBE) data for a relaxed structure of Pr3GeAs2Rh9, as listed in the Alexandria database.

* DOS(E_F): 3.598 states/eV per cell
* formation energy from the elements: -0.45 eV per atom
* total magnetization: 0.000 μB/atom
* total energy: -6.75 eV per atom
* SG: P-3m1 (164)

Cell: 6.337 6.337 8.764 Å, 90.00 90.00 120.00°
Atoms (fractional coordinates):
Pr1 0.333 0.667 0.693
Pr2 0.000 0.000 0.000
Pr3 0.667 0.333 0.307
Ge1 0.000 0.000 0.500
As1 0.333 0.667 0.177
As2 0.667 0.333 0.823
Rh1 0.857 0.143 0.714
Rh2 0.857 0.714 0.714
Rh3 0.286 0.143 0.714
Rh4 0.714 0.857 0.286
Rh5 0.143 0.286 0.286
Rh6 0.143 0.857 0.286
Rh7 0.500 0.000 0.000
Rh8 0.000 0.500 0.000
Rh9 0.500 0.500 0.000



First-principles (PBE) data for a relaxed structure of Pr2GeAs3Rh4, as listed in the Alexandria database.

* DOS(E_F): 6.779 states/eV per cell
* formation energy from the elements: -0.92 eV per atom
* total magnetization: 0.000 μB/atom
* total energy: -6.67 eV per atom
* SG: P-4m2 (115)

Cell: 4.278 4.278 10.154 Å, 90.00 90.00 90.00°
Atoms (fractional coordinates):
Pr1 0.500 0.000 0.254
Pr2 0.000 0.500 0.746
Ge1 0.500 0.500 0.500
As1 0.000 0.000 0.500
As2 0.500 0.000 0.864
As3 0.000 0.500 0.136
Rh1 0.500 0.500 0.000
Rh2 0.000 0.000 0.000
Rh3 0.500 0.000 0.624
Rh4 0.000 0.500 0.376



First-principles (PBE) data for a relaxed structure of PrGeAsRh3, as listed in the Alexandria database.

* DOS(E_F): 4.806 states/eV per cell
* formation energy from the elements: -0.66 eV per atom
* total magnetization: 0.000 μB/atom
* total energy: -6.68 eV per atom
* SG: Cmcm (63)

Cell: 5.706 5.708 8.120 Å, 110.58 90.00 90.00°
Atoms (fractional coordinates):
Pr1 0.750 0.299 0.598
Pr2 0.250 0.701 0.402
Ge1 0.250 0.093 0.186
Ge2 0.750 0.907 0.814
As1 0.250 0.411 0.822
As2 0.750 0.589 0.178
Rh1 0.250 0.253 0.505
Rh2 0.000 0.251 0.000
Rh3 0.500 0.749 0.000
Rh4 0.500 0.251 0.000
Rh5 0.000 0.749 0.000
Rh6 0.750 0.747 0.495



First-principles (PBE) data for a relaxed structure of Pr6Ge2AsS3, as listed in the Alexandria database.

* formation energy (no corrections): -1566 meV/atom
* DOS(E_F): 2.276 states/eV per cell
* total magnetization: 0.000 μB/atom
* total energy: -6.14 eV per atom
* SG: C2/m (12)

Cell: 4.243 8.453 9.451 Å, 102.49 102.97 90.00°
Atoms (fractional coordinates):
Pr1 0.333 0.916 0.666
Pr2 0.666 0.584 0.333
Pr3 0.667 0.084 0.334
Pr4 0.001 0.251 0.002
Pr5 0.999 0.749 0.998
Pr6 0.334 0.416 0.667
Ge1 0.834 0.667 0.667
Ge2 0.166 0.333 0.333
As1 0.500 0.000 0.000
S1 0.500 0.500 0.000
S2 0.834 0.166 0.668
S3 0.166 0.834 0.332



First-principles (PBE) data for a relaxed structure of Pr6GeAs2S3, as listed in the Alexandria database.

* formation energy (no corrections): -1681 meV/atom
* DOS(E_F): 3.911 states/eV per cell
* total magnetization: 0.000 μB/atom
* total energy: -6.26 eV per atom
* SG: C2/m (12)

Cell: 4.238 8.425 9.436 Å, 102.54 102.98 90.00°
Atoms (fractional coordinates):
Pr1 0.334 0.919 0.668
Pr2 0.666 0.584 0.332
Pr3 0.666 0.081 0.332
Pr4 0.999 0.249 0.999
Pr5 0.001 0.751 0.001
Pr6 0.334 0.416 0.668
Ge1 0.500 0.000 0.000
As1 0.833 0.666 0.666
As2 0.167 0.334 0.334
S1 0.500 0.500 0.000
S2 0.833 0.168 0.665
S3 0.167 0.832 0.335



First-principles (PBE) data for a relaxed structure of Pr4GeAsS2, as listed in the Alexandria database.

* formation energy (no corrections): -1629 meV/atom
* DOS(E_F): 2.638 states/eV per cell
* total magnetization: 0.000 μB/atom
* total energy: -6.21 eV per atom
* SG: Imma (74)

Cell: 8.458 8.458 8.457 Å, 119.99 119.99 90.00°
Atoms (fractional coordinates):
Pr1 0.250 0.752 0.000
Pr2 0.748 0.250 0.500
Pr3 0.252 0.750 0.500
Pr4 0.750 0.248 0.000
Pr5 0.749 0.751 0.000
Pr6 0.749 0.751 0.500
Pr7 0.251 0.249 0.500
Pr8 0.251 0.249 0.000
Ge1 0.500 0.500 0.500
Ge2 0.000 0.000 0.000
As1 0.000 0.500 0.000
As2 0.000 0.500 0.500
S1 0.500 0.000 0.000
S2 0.500 0.000 0.500
S3 0.000 0.000 0.500
S4 0.500 0.500 0.000



First-principles (PBE) data for a relaxed structure of Pr4GeAs2S, as listed in the Alexandria database.

* formation energy (no corrections): -1478 meV/atom
* DOS(E_F): 1.298 states/eV per cell
* total magnetization: 0.000 μB/atom
* total energy: -6.12 eV per atom
* SG: P2/m (10)

Cell: 4.262 7.403 7.404 Å, 70.60 90.00 90.00°
Atoms (fractional coordinates):
Pr1 0.000 0.750 0.749
Pr2 0.000 0.250 0.251
Pr3 0.500 0.750 0.248
Pr4 0.500 0.250 0.752
Ge1 0.000 0.500 0.500
As1 0.000 0.000 0.000
As2 0.500 0.000 0.500
S1 0.500 0.500 0.000



First-principles (PBE) data for a relaxed structure of Pr6Ge3AsS2, as listed in the Alexandria database.

* formation energy (no corrections): -1318 meV/atom
* DOS(E_F): 6.555 states/eV per cell
* total magnetization: 0.000 μB/atom
* total energy: -5.94 eV per atom
* SG: C2/m (12)

Cell: 4.226 8.603 9.581 Å, 104.20 102.74 90.00°
Atoms (fractional coordinates):
Pr1 0.333 0.914 0.666
Pr2 0.668 0.580 0.336
Pr3 0.667 0.086 0.334
Pr4 0.002 0.249 0.005
Pr5 0.998 0.751 0.995
Pr6 0.332 0.420 0.664
Ge1 0.500 0.500 0.000
Ge2 0.833 0.169 0.667
Ge3 0.167 0.831 0.333
As1 0.500 0.000 0.000
S1 0.832 0.666 0.665
S2 0.168 0.334 0.335



First-principles (PBE) data for a relaxed structure of Pr8Ge3AsSe4, as listed in the Alexandria database.

* formation energy (no corrections): -1490 meV/atom
* DOS(E_F): 4.046 states/eV per cell
* total magnetization: 0.000 μB/atom
* total energy: -5.91 eV per atom
* SG: R-3m (166)

Cell: 8.620 8.643 8.620 Å, 119.91 120.00 90.00°
Atoms (fractional coordinates):
Pr1 0.247 0.740 0.992
Pr2 0.247 0.740 0.494
Pr3 0.253 0.258 0.505
Pr4 0.745 0.740 0.992
Pr5 0.255 0.260 0.008
Pr6 0.747 0.742 0.495
Pr7 0.753 0.260 0.506
Pr8 0.753 0.260 0.008
Ge1 0.500 0.500 0.000
Ge2 0.500 0.500 0.500
Ge3 0.000 0.500 0.500
As1 0.000 0.500 0.000
Se1 0.500 0.000 0.000
Se2 0.500 0.000 0.500
Se3 0.000 0.000 0.000
Se4 0.000 0.000 0.500



First-principles (PBE) data for a relaxed structure of Pr6Ge2AsSe3, as listed in the Alexandria database.

* formation energy (no corrections): -1519 meV/atom
* DOS(E_F): 2.145 states/eV per cell
* total magnetization: 0.000 μB/atom
* total energy: -5.94 eV per atom
* SG: C2/m (12)

Cell: 4.311 8.639 9.646 Å, 103.01 102.91 90.00°
Atoms (fractional coordinates):
Pr1 0.335 0.910 0.670
Pr2 0.669 0.578 0.337
Pr3 0.665 0.090 0.330
Pr4 0.003 0.246 0.006
Pr5 0.997 0.754 0.994
Pr6 0.331 0.422 0.663
Ge1 0.834 0.667 0.667
Ge2 0.166 0.333 0.333
As1 0.500 0.000 0.000
Se1 0.500 0.500 0.000
Se2 0.834 0.166 0.668
Se3 0.166 0.834 0.332



First-principles (PBE) data for a relaxed structure of Pr8GeAs3Se4, as listed in the Alexandria database.

* formation energy (no corrections): -1658 meV/atom
* DOS(E_F): 5.190 states/eV per cell
* total magnetization: 0.000 μB/atom
* total energy: -6.08 eV per atom
* SG: R-3m (166)

Cell: 8.594 8.613 8.594 Å, 119.93 120.00 90.00°
Atoms (fractional coordinates):
Pr1 0.246 0.740 0.994
Pr2 0.246 0.740 0.491
Pr3 0.254 0.261 0.507
Pr4 0.748 0.740 0.994
Pr5 0.252 0.260 0.006
Pr6 0.746 0.739 0.493
Pr7 0.754 0.260 0.509
Pr8 0.754 0.260 0.006
Ge1 0.000 0.500 0.000
As1 0.500 0.500 0.000
As2 0.500 0.500 0.500
As3 0.000 0.500 0.500
Se1 0.500 0.000 0.000
Se2 0.500 0.000 0.500
Se3 0.000 0.000 0.000
Se4 0.000 0.000 0.500



First-principles (PBE) data for a relaxed structure of Pr4GeAsSe2, as listed in the Alexandria database.

* formation energy (no corrections): -1580 meV/atom
* DOS(E_F): 1.480 states/eV per cell
* total magnetization: 0.000 μB/atom
* total energy: -6.00 eV per atom
* SG: P2/m (10)

Cell: 4.307 7.470 7.455 Å, 70.60 90.00 90.00°
Atoms (fractional coordinates):
Pr1 0.000 0.739 0.752
Pr2 0.000 0.261 0.248
Pr3 0.500 0.740 0.255
Pr4 0.500 0.260 0.745
Ge1 0.000 0.500 0.500
As1 0.500 0.500 0.000
Se1 0.000 0.000 0.000
Se2 0.500 0.000 0.500



First-principles (PBE) data for a relaxed structure of Pr6GeAs2Se3, as listed in the Alexandria database.

* formation energy (no corrections): -1629 meV/atom
* DOS(E_F): 3.997 states/eV per cell
* total magnetization: 0.000 μB/atom
* total energy: -6.05 eV per atom
* SG: C2/m (12)

Cell: 4.302 8.611 9.636 Å, 103.15 102.90 90.00°
Atoms (fractional coordinates):
Pr1 0.337 0.913 0.673
Pr2 0.669 0.577 0.337
Pr3 0.663 0.087 0.327
Pr4 0.002 0.243 0.003
Pr5 0.998 0.757 0.997
Pr6 0.331 0.423 0.663
Ge1 0.500 0.000 0.000
As1 0.833 0.666 0.666
As2 0.167 0.334 0.334
Se1 0.500 0.500 0.000
Se2 0.833 0.168 0.665
Se3 0.167 0.832 0.335



First-principles (PBE) data for a relaxed structure of Pr4GeTeAs2, as listed in the Alexandria database.

* formation energy (no corrections): -1343 meV/atom
* DOS(E_F): 1.460 states/eV per cell
* total magnetization: 0.000 μB/atom
* total energy: -5.86 eV per atom
* SG: P2/m (10)

Cell: 4.343 7.590 7.600 Å, 70.94 90.00 90.00°
Atoms (fractional coordinates):
Pr1 0.000 0.764 0.734
Pr2 0.000 0.236 0.266
Pr3 0.500 0.757 0.255
Pr4 0.500 0.243 0.745
Ge1 0.000 0.500 0.500
Te1 0.500 0.500 0.000
As1 0.000 0.000 0.000
As2 0.500 0.000 0.500



First-principles (PBE) data for a relaxed structure of Pr6Ge2TeAs3, as listed in the Alexandria database.

* formation energy (no corrections): -1250 meV/atom
* DOS(E_F): 5.046 states/eV per cell
* total magnetization: 0.000 μB/atom
* total energy: -5.83 eV per atom
* SG: C2/m (12)

Cell: 4.316 8.792 9.752 Å, 103.26 102.78 90.00°
Atoms (fractional coordinates):
Pr1 0.328 0.916 0.656
Pr2 0.666 0.587 0.333
Pr3 0.672 0.084 0.344
Pr4 0.001 0.266 0.002
Pr5 0.999 0.734 0.998
Pr6 0.334 0.413 0.667
Ge1 0.833 0.666 0.666
Ge2 0.167 0.334 0.334
Te1 0.500 0.000 0.000
As1 0.500 0.500 0.000
As2 0.836 0.167 0.672
As3 0.164 0.833 0.328



First-principles (PBE) data for a relaxed structure of PrThGeAs, as listed in the Alexandria database.

* DOS(E_F): 1.570 states/eV per cell
* formation energy from the elements: -1.12 eV per atom
* total magnetization: 0.000 μB/atom
* total energy: -6.49 eV per atom
* SG: R3m (160)

Cell: 4.303 4.303 7.458 Å, 73.23 73.23 60.00°
Atoms (fractional coordinates):
Pr1 0.694 0.694 0.919
Th1 0.195 0.195 0.416
Ge1 0.942 0.942 0.174
As1 0.446 0.446 0.662



First-principles (PBE) data for a relaxed structure of Ge2AsPt2, as listed in the Alexandria database.

* DOS(E_F): 2.907 states/eV per cell
* formation energy from the elements: -0.04 eV per atom
* total magnetization: 0.000 μB/atom
* total energy: -5.23 eV per atom
* SG: I4/mmm (139)

Cell: 3.958 3.958 6.504 Å, 72.29 72.29 90.00°
Atoms (fractional coordinates):
As1 0.000 0.000 0.000
Ge1 0.750 0.250 0.500
Ge2 0.250 0.750 0.500
Pt1 0.385 0.385 0.231
Pt2 0.615 0.615 0.769



First-principles (PBE) data for a relaxed structure of Ge4AsPt2, as listed in the Alexandria database.

* DOS(E_F): 5.876 states/eV per cell
* formation energy from the elements: -0.21 eV per atom
* total magnetization: 0.000 μB/atom
* total energy: -5.24 eV per atom
* SG: Cc (9)

Cell: 6.297 6.300 8.400 Å, 67.46 67.43 94.76°
Atoms (fractional coordinates):
Ge1 0.426 0.777 0.715
Ge2 0.428 0.666 0.105
Ge3 0.027 0.175 0.215
Ge4 0.793 0.533 0.399
Ge5 0.916 0.178 0.605
Ge6 0.783 0.543 0.898
Ge7 0.402 0.120 0.267
Ge8 0.370 0.152 0.767
As1 0.946 0.993 0.022
As2 0.243 0.696 0.523
Pt1 0.373 0.377 0.440
Pt2 0.627 0.122 0.941
Pt3 0.858 0.810 0.551
Pt4 0.060 0.607 0.051



First-principles (PBE) data for a relaxed structure of Ge2AsPt, as listed in the Alexandria database.

* DOS(E_F): 4.315 states/eV per cell
* formation energy from the elements: -0.11 eV per atom
* total magnetization: 0.000 μB/atom
* total energy: -5.09 eV per atom
* SG: I-42d (122)

Cell: 5.756 5.756 7.007 Å, 65.75 65.75 90.00°
Atoms (fractional coordinates):
As1 0.500 0.500 0.000
As2 0.250 0.750 0.500
Ge1 0.644 0.125 0.250
Ge2 0.106 0.625 0.250
Ge3 0.375 0.356 0.750
Ge4 0.875 0.894 0.750
Pt1 0.000 0.000 0.000
Pt2 0.750 0.250 0.500



First-principles (PBE) data for a relaxed structure of Ge3AsPt, as listed in the Alexandria database.

* DOS(E_F): 2.114 states/eV per cell
* formation energy from the elements: 0.34 eV per atom
* total magnetization: 0.000 μB/atom
* total energy: -4.57 eV per atom
* SG: Pm-3m (221)

Cell: 4.873 4.873 4.873 Å, 90.00 90.00 90.00°
Atoms (fractional coordinates):
As1 0.500 0.500 0.500
Ge1 0.000 0.500 0.000
Ge2 0.000 0.000 0.500
Ge3 0.500 0.000 0.000
Pt1 0.000 0.000 0.000